Ca3AlZn3 | the Alexandria database | PBE | optimized geometry; space-group type = C2/m, No. 12; density = 3.302 Mg/m³; total energy = -30.9 eV for the cell shown
1.0
-1.088 -2.761 3.252
3.210 1.096 4.984
-10.016 7.811 6.259
Ca Al Zn
6 2 6
Direct
0.474 0.668 0.384
0.248 0.270 0.233
0.394 0.291 0.920
0.752 0.730 0.767
0.526 0.332 0.616
0.606 0.709 0.080
0.755 0.082 0.408
0.245 0.918 0.592
0.052 0.135 0.761
0.099 0.880 0.921
0.873 0.714 0.540
0.901 0.120 0.079
0.948 0.865 0.239
0.127 0.286 0.460